[1]
{
  "formula": "Sc4Mo5",
  "functional": "GGA-PBE",
  "state": "relaxed",
  "formation_energy_mev_per_atom": 159,
  "relative_energy_kj_per_mol_fu": 0,
  "e_tot_ev_per_atom": -8.67,
  "dos_ef_per_ev_atom": 1.276,
  "cell": [[-4.984, 4.984, 1.649], [4.984, -4.984, 1.649], [4.984, 4.984, -1.649]],
  "species": ["Sc", "Sc", "Sc", "Sc", "Mo", "Mo", "Mo", "Mo", "Mo"],
  "frac_coords": [[0.000, 0.313, 0.313], [0.000, 0.687, 0.687], [0.313, 0.000, 0.313], [0.687, 0.000, 0.687], [0.000, 0.000, 0.000], [0.329, 0.329, 0.658], [0.329, 0.671, 0.000], [0.671, 0.329, 0.000], [0.671, 0.671, 0.342]]
}

***

[2]
{
  "formula": "Sc3Mo",
  "functional": "GGA-PBE",
  "state": "relaxed",
  "formation_energy_mev_per_atom": 172,
  "relative_energy_kj_per_mol_fu": 41,
  "e_tot_ev_per_atom": -7.28,
  "dos_ef_per_ev_atom": 1.241,
  "cell": [[0.000, 3.443, 3.443], [3.443, 0.000, 3.443], [3.443, 3.443, 0.000]],
  "species": ["Sc", "Sc", "Sc", "Mo"],
  "frac_coords": [[0.000, 0.000, 0.000], [0.250, 0.250, 0.250], [0.750, 0.750, 0.750], [0.500, 0.500, 0.500]]
}

***

[3]
{
  "formula": "ScMo2",
  "functional": "GGA-PBE",
  "state": "relaxed",
  "formation_energy_mev_per_atom": -8,
  "e_tot_ev_per_atom": -9.34,
  "dos_ef_per_ev_atom": 1.213,
  "cell": [[5.402, 0.000, 0.000], [-2.701, 4.678, 0.000], [0.000, 0.000, 8.677]],
  "species": ["Sc", "Sc", "Sc", "Sc", "Mo", "Mo", "Mo", "Mo", "Mo", "Mo", "Mo", "Mo"],
  "frac_coords": [[0.333, 0.667, 0.062], [0.333, 0.667, 0.438], [0.667, 0.333, 0.562], [0.667, 0.333, 0.938], [0.000, 0.000, 0.000], [0.000, 0.000, 0.500], [0.171, 0.342, 0.750], [0.171, 0.829, 0.750], [0.342, 0.171, 0.250], [0.658, 0.829, 0.750], [0.829, 0.171, 0.250], [0.829, 0.658, 0.250]]
}

***

[4]
{
  "formula": "Sc4Mo",
  "functional": "GGA-PBE",
  "state": "relaxed",
  "formation_energy_mev_per_atom": 593,
  "relative_energy_kj_per_mol_fu": 232,
  "e_tot_ev_per_atom": -6.64,
  "dos_ef_per_ev_atom": 0.781,
  "cell": [[-1.899, 1.899, 7.803], [1.899, -1.899, 7.803], [1.899, 1.899, -7.803]],
  "species": ["Sc", "Sc", "Sc", "Sc", "Mo"],
  "frac_coords": [[0.086, 0.086, 0.000], [0.250, 0.750, 0.500], [0.750, 0.250, 0.500], [0.914, 0.914, 0.000], [0.500, 0.500, 0.000]]
}

***

[5]
{
  "formula": "ScMo2",
  "functional": "GGA-PBE",
  "state": "relaxed",
  "formation_energy_mev_per_atom": 377,
  "e_tot_ev_per_atom": -8.95,
  "dos_ef_per_ev_atom": 1.013,
  "cell": [[4.758, 0.000, 0.000], [-2.379, 4.121, 0.000], [0.000, 0.000, 5.283]],
  "species": ["Sc", "Sc", "Mo", "Mo", "Mo", "Mo"],
  "frac_coords": [[0.333, 0.667, 0.250], [0.667, 0.333, 0.750], [0.000, 0.000, 0.000], [0.000, 0.000, 0.500], [0.333, 0.667, 0.750], [0.667, 0.333, 0.250]]
}

***

[6]
{
  "formula": "Sc3Mo",
  "functional": "GGA-PBE",
  "state": "relaxed",
  "formation_energy_mev_per_atom": 217,
  "relative_energy_kj_per_mol_fu": 59,
  "e_tot_ev_per_atom": -7.24,
  "dos_ef_per_ev_atom": 1.534,
  "cell": [[3.141, 0.000, 0.000], [-1.570, 2.720, 0.000], [0.000, 0.000, 10.004]],
  "species": ["Sc", "Sc", "Sc", "Mo"],
  "frac_coords": [[0.000, 0.000, 0.000], [0.333, 0.667, 0.272], [0.333, 0.667, 0.728], [0.000, 0.000, 0.500]]
}